(1)
# ZrScPb2 meta-GGA SCAN PBEsol geometry
data_ZrScPb2
_chemical_formula_sum 'Zr2 Sc2 Pb4'
_cell_length_a 4.290
_cell_length_b 5.080
_cell_length_c 8.541
_cell_angle_alpha 90.00
_cell_angle_beta 90.00
_cell_angle_gamma 90.00
_symmetry_space_group_name_H-M 'C m m m'
_symmetry_Int_Tables_number 65
_symmetry_space_group_name_Hall '-C 2 2'
loop_
_atom_site_label
_atom_site_fract_x
_atom_site_fract_y
_atom_site_fract_z
Zr1 0.000 0.000 0.000
Sc1 0.000 0.000 0.500
Pb1 0.000 0.500 0.251
# DFT formation energy = -0.433 eV per atom
# energy relative to the lowest polymorph listed for this composition = 30 meV/atom

***

(2)
# MgBr2Cl meta-GGA SCAN PBEsol geometry
data_MgBr2Cl
_chemical_formula_sum 'Mg1 Br2 Cl1'
_cell_length_a 4.892
_cell_length_b 4.892
_cell_length_c 3.791
_cell_angle_alpha 90.00
_cell_angle_beta 90.00
_cell_angle_gamma 90.00
_symmetry_space_group_name_H-M 'P 4/m m m'
_symmetry_Int_Tables_number 123
_symmetry_space_group_name_Hall '-P 4 2'
loop_
_atom_site_label
_atom_site_fract_x
_atom_site_fract_y
_atom_site_fract_z
Mg1 0.000 0.000 0.000
Br1 0.000 0.500 0.500
Cl1 0.500 0.500 0.000
# energy relative to the lowest polymorph listed for this composition = 241 meV/atom

***

(3)
# CdP2IrS meta-GGA SCAN PBEsol geometry
data_CdP2IrS
_chemical_formula_sum 'Cd1 P2 Ir1 S1'
_cell_length_a 4.433
_cell_length_b 4.433
_cell_length_c 5.230
_cell_angle_alpha 90.00
_cell_angle_beta 90.00
_cell_angle_gamma 90.00
_symmetry_space_group_name_H-M 'P 4/m m m'
_symmetry_Int_Tables_number 123
_symmetry_space_group_name_Hall '-P 4 2'
loop_
_atom_site_label
_atom_site_fract_x
_atom_site_fract_y
_atom_site_fract_z
Cd1 0.000 0.000 0.000
P1 0.000 0.500 0.500
Ir1 0.500 0.500 0.500
S1 0.500 0.500 0.000
# E_tot = -25.887 eV/atom

***

(4)
# SiTcRu meta-GGA SCAN PBEsol geometry
data_SiTcRu
_chemical_formula_sum 'Si2 Tc2 Ru2'
_cell_length_a 2.870
_cell_length_b 2.870
_cell_length_c 9.360
_cell_angle_alpha 90.00
_cell_angle_beta 90.00
_cell_angle_gamma 90.00
_symmetry_space_group_name_H-M 'I 4 m m'
_symmetry_Int_Tables_number 107
_symmetry_space_group_name_Hall 'I 4 -2'
loop_
_atom_site_label
_atom_site_fract_x
_atom_site_fract_y
_atom_site_fract_z
Si1 0.000 0.000 0.000
Tc1 0.000 0.000 0.657
Ru1 0.000 0.000 0.349
# E_tot = -27.077 eV/atom

***

(5)
# KSr3Rh meta-GGA SCAN PBEsol geometry
data_KSr3Rh
_chemical_formula_sum 'K1 Sr3 Rh1'
_cell_length_a 5.942
_cell_length_b 5.942
_cell_length_c 5.942
_cell_angle_alpha 90.00
_cell_angle_beta 90.00
_cell_angle_gamma 90.00
_symmetry_space_group_name_H-M 'P m -3 m'
_symmetry_Int_Tables_number 221
_symmetry_space_group_name_Hall '-P 4 2 3'
loop_
_atom_site_label
_atom_site_fract_x
_atom_site_fract_y
_atom_site_fract_z
K1 0.000 0.000 0.000
Sr1 0.000 0.500 0.500
Rh1 0.500 0.500 0.500
# DFT formation energy = -0.118 eV per atom
# energy relative to the lowest polymorph listed for this composition = 11 meV/atom

***

(6)
# NbFeF3 meta-GGA SCAN PBEsol geometry
data_NbFeF3
_chemical_formula_sum 'Nb1 Fe1 F3'
_cell_length_a 4.231
_cell_length_b 4.231
_cell_length_c 4.231
_cell_angle_alpha 90.00
_cell_angle_beta 90.00
_cell_angle_gamma 90.00
_symmetry_space_group_name_H-M 'P m -3 m'
_symmetry_Int_Tables_number 221
_symmetry_space_group_name_Hall '-P 4 2 3'
loop_
_atom_site_label
_atom_site_fract_x
_atom_site_fract_y
_atom_site_fract_z
Nb1 0.000 0.000 0.000
Fe1 0.500 0.500 0.500
F1 0.000 0.000 0.500
# E_tot = -13.671 eV/atom

***

(7)
# EuCo2P2 meta-GGA SCAN PBEsol geometry
data_EuCo2P2
_chemical_formula_sum 'Eu2 Co4 P4'
_cell_length_a 3.763
_cell_length_b 3.763
_cell_length_c 10.176
_cell_angle_alpha 90.00
_cell_angle_beta 90.00
_cell_angle_gamma 90.00
_symmetry_space_group_name_H-M 'I 4/m m m'
_symmetry_Int_Tables_number 139
_symmetry_space_group_name_Hall '-I 4 2'
loop_
_atom_site_label
_atom_site_fract_x
_atom_site_fract_y
_atom_site_fract_z
Eu1 0.000 0.000 0.000
Co1 0.000 0.500 0.250
P1 0.000 0.000 0.362
# DFT formation energy = -0.877 eV per atom

***

(8)
# Fe2NiHPd meta-GGA SCAN PBEsol geometry
data_Fe2NiHPd
_chemical_formula_sum 'Fe2 Ni1 H1 Pd1'
_cell_length_a 3.661
_cell_length_b 3.661
_cell_length_c 3.700
_cell_angle_alpha 90.00
_cell_angle_beta 90.00
_cell_angle_gamma 90.00
_symmetry_space_group_name_H-M 'P 4/m m m'
_symmetry_Int_Tables_number 123
_symmetry_space_group_name_Hall '-P 4 2'
loop_
_atom_site_label
_atom_site_fract_x
_atom_site_fract_y
_atom_site_fract_z
Fe1 0.000 0.500 0.000
Ni1 0.000 0.000 0.500
H1 0.000 0.000 0.000
Pd1 0.500 0.500 0.500
# E_tot = -17.835 eV/atom

***

(9)
# InMo2Ru meta-GGA SCAN PBEsol geometry
data_InMo2Ru
_chemical_formula_sum 'In2 Mo4 Ru2'
_cell_length_a 3.183
_cell_length_b 4.600
_cell_length_c 8.770
_cell_angle_alpha 90.00
_cell_angle_beta 90.00
_cell_angle_gamma 90.00
_symmetry_space_group_name_H-M 'C m m 2'
_symmetry_Int_Tables_number 35
loop_
_symmetry_equiv_pos_as_xyz
'x,y,z'
'-x,-y,z'
'-x,y,z'
'x,-y,z'
'x+1/2,y+1/2,z'
'-x+1/2,-y+1/2,z'
'-x+1/2,y+1/2,z'
'x+1/2,-y+1/2,z'
loop_
_atom_site_label
_atom_site_fract_x
_atom_site_fract_y
_atom_site_fract_z
In1 0.000 0.000 0.000
Mo1 0.000 0.000 0.487
Mo2 0.000 0.500 0.727
Ru1 0.000 0.500 0.257
# DFT formation energy = 0.291 eV per atom

***

(10)
# TcMo3 meta-GGA SCAN PBEsol geometry
data_TcMo3
_chemical_formula_sum 'Tc2 Mo6'
_cell_length_a 4.948
_cell_length_b 4.948
_cell_length_c 4.948
_cell_angle_alpha 90.00
_cell_angle_beta 90.00
_cell_angle_gamma 90.00
_symmetry_space_group_name_H-M 'P m -3 n'
_symmetry_Int_Tables_number 223
_symmetry_space_group_name_Hall '-P 4n 2 3'
loop_
_atom_site_label
_atom_site_fract_x
_atom_site_fract_y
_atom_site_fract_z
Tc1 0.000 0.000 0.000
Mo1 0.000 0.250 0.500
# DFT formation energy = 0.019 eV per atom
# energy relative to the lowest polymorph listed for this composition = 0 meV/atom

***

(11)
# Li2YAl meta-GGA SCAN PBEsol geometry
data_Li2YAl
_chemical_formula_sum 'Li2 Y1 Al1'
_cell_length_a 4.271
_cell_length_b 4.271
_cell_length_c 4.798
_cell_angle_alpha 90.00
_cell_angle_beta 90.00
_cell_angle_gamma 90.00
_symmetry_space_group_name_H-M 'P 4/m m m'
_symmetry_Int_Tables_number 123
_symmetry_space_group_name_Hall '-P 4 2'
loop_
_atom_site_label
_atom_site_fract_x
_atom_site_fract_y
_atom_site_fract_z
Li1 0.000 0.500 0.000
Y1 0.000 0.000 0.500
Al1 0.500 0.500 0.500
# DFT formation energy = -0.032 eV per atom

***

(12)
# CaCdTc2 meta-GGA SCAN PBEsol geometry
data_CaCdTc2
_chemical_formula_sum 'Ca2 Cd2 Tc4'
_cell_length_a 3.322
_cell_length_b 4.416
_cell_length_c 9.603
_cell_angle_alpha 90.00
_cell_angle_beta 90.00
_cell_angle_gamma 90.00
_symmetry_space_group_name_H-M 'I m m m'
_symmetry_Int_Tables_number 71
_symmetry_space_group_name_Hall '-I 2 2'
loop_
_atom_site_label
_atom_site_fract_x
_atom_site_fract_y
_atom_site_fract_z
Ca1 0.000 0.000 0.000
Cd1 0.000 0.000 0.500
Tc1 0.000 0.500 0.244
# DFT formation energy = 0.613 eV per atom

***

(13)
# KSn3Pd meta-GGA SCAN PBEsol geometry
data_KSn3Pd
_chemical_formula_sum 'K1 Sn3 Pd1'
_cell_length_a 5.528
_cell_length_b 5.528
_cell_length_c 5.528
_cell_angle_alpha 90.00
_cell_angle_beta 90.00
_cell_angle_gamma 90.00
_symmetry_space_group_name_H-M 'P m -3 m'
_symmetry_Int_Tables_number 221
_symmetry_space_group_name_Hall '-P 4 2 3'
loop_
_atom_site_label
_atom_site_fract_x
_atom_site_fract_y
_atom_site_fract_z
K1 0.000 0.000 0.000
Sn1 0.000 0.000 0.500
Pd1 0.500 0.500 0.500
# DFT formation energy = 1.580 eV per atom

***

(14)
# CaNi2Br meta-GGA SCAN PBEsol geometry
data_CaNi2Br
_chemical_formula_sum 'Ca2 Ni4 Br2'
_cell_length_a 6.691
_cell_length_b 3.863
_cell_length_c 6.411
_cell_angle_alpha 90.00
_cell_angle_beta 90.12
_cell_angle_gamma 90.00
_symmetry_space_group_name_H-M 'C 1 m 1'
_symmetry_Int_Tables_number 8
loop_
_symmetry_equiv_pos_as_xyz
'x,y,z'
'x,-y,z'
'x+1/2,y+1/2,z'
'x+1/2,-y+1/2,z'
loop_
_atom_site_label
_atom_site_fract_x
_atom_site_fract_y
_atom_site_fract_z
Ca1 0.000 0.000 0.000
Ni1 0.165 0.500 0.672
Ni2 0.332 0.000 0.710
Br1 0.167 0.500 0.292
# energy relative to the lowest polymorph listed for this composition = 0 meV/atom

***

| no. | N(E_F) (states/eV/cell) |
| --- | --- |
| 1 | 3.36 |
| 2 | 2.27 |
| 3 | 2.40 |
| 4 | 3.97 |
| 5 | 3.91 |
| 6 | 11.56 |
| 7 | 6.75 |
| 8 | 1.88 |
| 9 | 7.05 |
| 10 | 6.86 |
| 11 | 2.37 |
| 12 | 5.80 |
| 13 | 3.45 |
| 14 | 3.12 |